Here is a relaxed structure of CoAg4Os from the Alexandria database. Energies are from PBE.

Properties
The calculation puts the electronic total energy at -3.968 eV per atom. The value obtained for the formation energy is 988 meV/atom. The calculation puts the spin magnetization at 3.40 μB/f.u.

```
CoAg4Os
1.0
0.0000 3.7261 3.7261
3.7261 0.0000 3.7261
3.7261 3.7261 0.0000
Co Ag Os
1 4 1
direct
0.7500 0.7500 0.7500
0.3750 0.3750 0.8751
0.8751 0.3750 0.3750
0.3750 0.3750 0.3750
0.3750 0.8751 0.3750
0.0000 0.0000 0.0000
```



Here is a relaxed structure of SrReN3 from the Alexandria database. Energies are from PBE.

Properties
The calculation puts the electronic total energy at -8.173 eV per atom. The calculation puts the spin magnetization at 0.28 μB/f.u.

```
SrReN3
1.0
5.0554 0.0143 -0.0172
-0.7555 7.5273 -0.0024
-1.5288 0.4614 4.6703
N Sr Re
6 2 2
direct
0.3490 0.4865 0.7720
0.6611 0.7052 0.2777
0.2067 0.1598 0.3829
0.7066 0.1600 0.8829
0.0639 0.8333 0.9933
0.7517 0.6144 0.4877
0.4412 0.8314 0.7129
0.9720 0.4885 0.0527
0.3520 0.2515 0.7394
0.0612 0.0682 0.0263
```



Here is a relaxed structure of Ta2AlAs from the Alexandria database. Energies are from PBE.

Properties
The offset from the most stable computed form comes out at 204 meV/atom. The calculation puts the electronic total energy at -8.037 eV per atom. The value obtained for the formation energy is -12 meV/atom. The calculation puts the spin magnetization at 0.00 μB/f.u.

```
Ta2AlAs
1.0
4.5952 0.0398 0.0000
-0.9807 4.4895 0.0000
0.0000 0.0000 3.2564
Ta Al As
2 1 1
direct
0.5000 0.5000 0.0000
0.0000 0.0000 0.0000
0.5000 0.0000 0.5000
0.0000 0.5000 0.5000
```



Here is a relaxed structure of TePtPbN2 from the Alexandria database. Energies are from PBE.

Properties
The offset from the most stable computed form comes out at 76 meV/atom. The calculation puts the electronic total energy at -4.685 eV per atom. The calculation puts the spin magnetization at 3.24 μB/f.u.

```
TePtPbN2
1.0
4.2587 0.0000 0.0000
0.0000 4.2587 0.0000
0.0000 0.0000 5.8218
N Te Pt Pb
2 1 1 1
direct
0.5000 0.0000 0.0000
0.0000 0.5000 0.0000
0.0000 0.0000 0.5000
0.0000 0.0000 0.0000
0.5000 0.5000 0.5000
```



Here is a relaxed structure of LaAlGa2Ru2 from the Alexandria database. Energies are from PBE.

Properties
The calculation puts the electronic total energy at -5.843 eV per atom. The value obtained for the formation energy is -297 meV/atom. The calculation puts the spin magnetization at 0.00 μB/f.u.

```
LaAlGa2Ru2
1.0
4.5141 0.0000 0.0000
0.0000 4.5141 0.0000
0.0000 0.0000 5.8152
Ga Ru Al La
2 2 1 1
direct
0.5000 0.5000 0.2525
0.5000 0.5000 0.7475
0.5000 0.0000 0.0000
0.0000 0.5000 0.0000
0.0000 0.0000 0.0000
0.0000 0.0000 0.5000
```



Here is a relaxed structure of CoMoOs2 from the Alexandria database. Energies are from PBE.

Properties
The offset from the most stable computed form comes out at 141 meV/atom. The calculation puts the electronic total energy at -9.929 eV per atom. The value obtained for the formation energy is 170 meV/atom. The calculation puts the spin magnetization at 0.56 μB/f.u.

```
CoMoOs2
1.0
-2.1110 -1.6011 -0.5962
1.6364 -1.6227 -1.4367
1.3539 -4.0717 6.1408
Os Co Mo
2 1 1
direct
0.0000 0.0000 0.4825
0.0000 0.0000 0.0175
0.5000 0.5000 0.2500
0.5000 0.5000 0.7500
```